[1]
! Sm2YHo3Bi6, optimized geometry, DFT PBE-GGA; values from VASP
&SYSTEM
  ibrav = 0, nat = 12, ntyp = 4
/
ATOMIC_SPECIES
Sm 150.36 Sm.upf
Y 88.91 Y.upf
Ho 164.93 Ho.upf
Bi 208.98 Bi.upf
ATOMIC_POSITIONS crystal
Sm 0.1663 0.1663 0.3328
Sm 0.8337 0.8337 0.6672
Y 0.5000 0.5000 0.0000
Ho 0.1673 0.1673 0.8335
Ho 0.5000 0.5000 0.5000
Ho 0.8327 0.8327 0.1665
Bi 0.0019 0.0019 0.7498
Bi 0.3332 0.3332 0.9214
Bi 0.3348 0.3348 0.4131
Bi 0.6652 0.6652 0.5869
Bi 0.6668 0.6668 0.0786
Bi 0.9981 0.9981 0.2502
CELL_PARAMETERS angstrom
9.7993 -2.2494 0.0000
9.7993 2.2494 0.0000
-2.0509 0.0000 8.7572
! **Energy of formation**: -0.8751 eV/atom
! **Total energy**: -5.285 eV/atom
! **Space-group type**: C2/m, No. 12



[2]
! HoSbO4, optimized geometry, DFT PBE-GGA; values from VASP
&SYSTEM
  ibrav = 0, nat = 24, ntyp = 3
/
ATOMIC_SPECIES
Ho 164.93 Ho.upf
Sb 121.76 Sb.upf
O 16.00 O.upf
ATOMIC_POSITIONS crystal
Ho 0.1445 0.2254 0.3879
Ho 0.1445 0.2746 0.8879
Ho 0.8555 0.7254 0.1121
Ho 0.8555 0.7746 0.6121
Sb 0.3366 0.7319 0.1921
Sb 0.3366 0.7681 0.6921
Sb 0.6634 0.2319 0.3079
Sb 0.6634 0.2681 0.8079
O 0.1126 0.5240 0.1750
O 0.1126 0.9760 0.6750
O 0.1772 0.0130 0.1187
O 0.1772 0.4870 0.6187
O 0.3279 0.6158 0.9378
O 0.3279 0.8842 0.4378
O 0.4313 0.0948 0.8082
O 0.4313 0.4052 0.3082
O 0.5687 0.5948 0.6918
O 0.5687 0.9052 0.1918
O 0.6721 0.1158 0.5622
O 0.6721 0.3842 0.0622
O 0.8228 0.5130 0.3813
O 0.8228 0.9870 0.8813
O 0.8874 0.0240 0.3250
O 0.8874 0.4760 0.8250
CELL_PARAMETERS angstrom
7.6524 0.0000 0.0000
0.0000 5.3681 0.0000
-1.1438 0.0000 7.4585
! **Total energy**: -7.165 eV/atom
! **ΔE_f (raw)**: -232.5 kJ/mol of atoms
! **Space-group type**: P2_1/c, No. 14



[3]
! CaPr6DyHo2, optimized geometry, DFT PBE-GGA; values from VASP
&SYSTEM
  ibrav = 0, nat = 20, ntyp = 4
/
ATOMIC_SPECIES
Ca 40.08 Ca.upf
Pr 140.91 Pr.upf
Dy 162.50 Dy.upf
Ho 164.93 Ho.upf
ATOMIC_POSITIONS crystal
Ca 0.0983 0.9017 0.7500
Ca 0.9017 0.0983 0.2500
Pr 0.9996 0.2091 0.6224
Pr 0.0004 0.7909 0.3776
Pr 0.0675 0.5259 0.1778
Pr 0.2091 0.9996 0.1224
Pr 0.2645 0.6125 0.5527
Pr 0.3875 0.7355 0.9473
Pr 0.4741 0.9325 0.3222
Pr 0.5259 0.0675 0.6778
Pr 0.6125 0.2645 0.0527
Pr 0.7355 0.3875 0.4473
Pr 0.7909 0.0004 0.8776
Pr 0.9325 0.4741 0.8222
Dy 0.4725 0.5275 0.2500
Dy 0.5275 0.4725 0.7500
Ho 0.2054 0.3034 0.9558
Ho 0.3034 0.2054 0.4558
Ho 0.6966 0.7946 0.5442
Ho 0.7946 0.6966 0.0442
CELL_PARAMETERS angstrom
4.6423 -7.7846 0.0000
4.6423 7.7846 0.0000
-1.5114 0.0000 9.8240
! **Energy of formation**: 0.1305 eV/atom
! **Total energy**: -4.313 eV/atom
! **Space-group type**: C2/c, No. 15



[4]
! DyHo2Pd, optimized geometry, DFT PBE-GGA; values from VASP
&SYSTEM
  ibrav = 0, nat = 4, ntyp = 3
/
ATOMIC_SPECIES
Dy 162.50 Dy.upf
Ho 164.93 Ho.upf
Pd 106.42 Pd.upf
ATOMIC_POSITIONS crystal
Dy 0.0000 0.0000 0.0000
Ho 0.2500 0.2500 0.2500
Ho 0.7500 0.7500 0.7500
Pd 0.5000 0.5000 0.5000
CELL_PARAMETERS angstrom
0.0000 3.7086 3.7086
3.7086 0.0000 3.7086
3.7086 3.7086 0.0000
! **Energy of formation**: -0.1137 eV/atom
! **Total energy**: -4.851 eV/atom
! **Polymorph energy (0 for the lowest one)**: 366.0 meV per atom
! **Space-group type**: Fm-3m, No. 225



[5]
! Rb2HoGeSe4, optimized geometry, DFT PBE-GGA; values from VASP
&SYSTEM
  ibrav = 0, nat = 16, ntyp = 4
/
ATOMIC_SPECIES
Rb 85.47 Rb.upf
Ho 164.93 Ho.upf
Ge 72.64 Ge.upf
Se 78.96 Se.upf
ATOMIC_POSITIONS crystal
Rb 0.2405 0.1519 0.0000
Rb 0.2595 0.8481 0.5000
Rb 0.7405 0.8481 0.5000
Rb 0.7595 0.1519 0.0000
Ho 0.0000 0.3706 0.4640
Ho 0.5000 0.6294 0.9640
Ge 0.0000 0.6544 0.9571
Ge 0.5000 0.3456 0.4571
Se 0.0000 0.4163 0.0864
Se 0.0000 0.6238 0.6135
Se 0.2494 0.7937 0.0150
Se 0.2506 0.2063 0.5150
Se 0.5000 0.3762 0.1135
Se 0.5000 0.5837 0.5864
Se 0.7494 0.2063 0.5150
Se 0.7506 0.7937 0.0150
CELL_PARAMETERS angstrom
8.8622 0.0000 0.0000
0.0000 9.7756 0.0000
0.0000 0.0000 7.0995
! **Total energy**: -4.151 eV/atom
! **ΔE_f (raw)**: -98.2 kJ/mol of atoms
! **Space-group type**: Pmn2_1, No. 31